Record 1
LiNi2Sn2: relaxed, PBEsol.

Lattice parameters (Å, degrees): 3.0581 7.1788 7.1788 90.00 90.00 90.00
Closest atoms and distances in Å follow each position.
Element x y z (fractional)
Ni 0.0000 0.3732 0.8732  6 Sn 2.57-2.64, 1 Ni 2.58, 2 Li 2.83
Ni 0.0000 0.1268 0.3732  6 Sn 2.57-2.64, 1 Ni 2.58, 2 Li 2.83
Ni 0.0000 0.8732 0.6268  6 Sn 2.57-2.64, 1 Ni 2.58, 2 Li 2.83
Ni 0.0000 0.6268 0.1268  6 Sn 2.57-2.64, 1 Ni 2.58, 2 Li 2.83
Sn 0.5000 0.6697 0.8303  6 Ni 2.57-2.64
Sn 0.5000 0.1697 0.6697  6 Ni 2.57-2.64
Sn 0.5000 0.3303 0.1697  6 Ni 2.57-2.64
Sn 0.5000 0.8303 0.3303  6 Ni 2.57-2.64
Li 0.0000 0.5000 0.5000  4 Ni 2.83, 2 Li 3.06, 8 Sn 3.07
Li 0.0000 0.0000 0.0000  4 Ni 2.83, 2 Li 3.06, 8 Sn 3.07

Record 2
SrLi2Ni: relaxed, PBEsol.

ΔE to the lowest computed polymorph: 147 meV per atom

Lattice parameters (Å, degrees): 4.1320 4.1320 10.4988 101.35 101.35 90.00
Closest atoms and distances in Å follow each position.
Element x y z (fractional)
Li 0.4513 0.8750 0.2500  2 Li 2.52, 2 Ni 2.82
Li 0.7987 0.3750 0.2500  2 Li 2.52, 2 Ni 2.82
Li 0.6250 0.5487 0.7500  2 Li 2.52, 2 Ni 2.82
Li 0.1250 0.2013 0.7500  2 Li 2.52, 2 Ni 2.82
Sr 0.0000 0.0000 0.0000  4 Ni 2.92, 4 Li 3.04
Sr 0.2500 0.7500 0.5000  4 Ni 2.92, 4 Li 3.04
Ni 0.7500 0.2500 0.5000  4 Li 2.82, 4 Sr 2.92
Ni 0.5000 0.5000 0.0000  4 Li 2.82, 4 Sr 2.92

One value per record, in order, for density of states at the Fermi level: 3.9 4.1 states/eV/cell.
One value per record, in order, for electronic total energy: -4.80 -2.72 eV/atom.
One value per record, in order, for calculated formation energy: -0.24 0.26 eV/atom.